Below is a relaxed Na3N crystal, with properties calculated at the GGA-PBEsol level.

Cell: 6.2010 6.2010 6.2010 Å, 90.00 90.00 90.00°
Space group Fm-3m (No. 225)
Asymmetric unit:
Na  0.0000  0.0000  0.0000
Na  0.2500  0.2500  0.2500
N  0.0000  0.0000  0.5000

Calculated values
Crystal system: cubic
DFT total energy (eV per atom): -2.760
Magnetization (μB per formula unit): 0.001
Formation energy (no corrections) (meV per atom): 421